Entry 1:
A plane-wave DFT calculation with PBEsol was carried out for Ba2SiMo after structural relaxation.

The space group is Imm2 (No. 44) and the conventional cell measures 3.914, 5.443 and 10.774 Å, with angles of 90.00, 90.00 and 90.00 degrees. The distinct sites, in fractional coordinates, are Ba at (0.000, 0.000, 0.000), Ba at (0.000, 0.500, 0.200), Si at (0.000, 0.500, 0.773) and Mo at (0.000, 0.000, 0.402).

The calculation puts the volume at 114.8 Å³/f.u. The uncorrected formation energy comes out at 8.02 kcal/mol of atoms. The electronic total energy is -5.11 eV per atom. The magnetization is 0.0007 μB per atom. The value obtained for the density of states at the Fermi level is 9.256 states/eV per cell. The calculation puts the density at 5.8 g/cm3.

---

Entry 2:
A plane-wave DFT calculation with PBEsol was carried out for ScCrFe after structural relaxation.

The space group is F-43m (No. 216) and the conventional cell measures 5.661, 5.661 and 5.661 Å, with angles of 90.00, 90.00 and 90.00 degrees. The distinct sites, in fractional coordinates, are Sc at (0.000, 0.000, 0.000), Cr at (0.000, 0.000, 0.500) and Fe at (0.250, 0.250, 0.750).

The calculation puts the volume at 45.3 Å³/f.u. The electronic total energy is -8.10 eV per atom. The magnetization is 0.0004 μB per atom. The value obtained for the density of states at the Fermi level is 12.818 states/eV per cell. The calculation puts the density at 5.6 g/cm3.

---

Entry 3:
A plane-wave DFT calculation with PBEsol was carried out for KAg2Au after structural relaxation.

The space group is Fm-3m (No. 225) and the conventional cell measures 6.900, 6.900 and 6.900 Å, with angles of 90.00, 90.00 and 90.00 degrees. The distinct sites, in fractional coordinates, are K at (0.000, 0.000, 0.000), Ag at (0.250, 0.250, 0.250) and Au at (0.000, 0.000, 0.500).

The calculation puts the volume at 82.1 Å³/f.u. The electronic total energy is -2.69 eV per atom. The magnetization is 0.0000 μB per atom. The value obtained for the density of states at the Fermi level is 4.630 states/eV per cell. The calculation puts the excess energy over the best structure of this formula in the dataset at 0.116 eV per atom. The calculation puts the density at 9.1 g/cm3.